Density functional theory data (GGA-PBE) for crystalline TmHfNb2N4 at its relaxed geometry.

Space group: P2/m
Calculated volume in Å³ per atom: 11.72
Energy relative to the elements, uncorrected in eV per atom: -1.3925
N(E_F) in states/eV/f.u.: 2.00
Density in g/cm³: 10.433

abc: 5.568 3.205 5.572
angles: 90.00 109.39 90.00
Element x y z (fractional)
Tm: 0.000 0.000 0.000
Hf: 0.000 0.500 0.500
Nb: 0.500 0.000 0.500
Nb: 0.500 0.500 0.000
N: 0.247 0.000 0.740
N: 0.254 0.500 0.261
N: 0.746 0.500 0.739
N: 0.753 0.000 0.260

Density functional theory data (GGA-PBE) for crystalline TmHf2NbN4 at its relaxed geometry.

Space group: P2/m
Calculated volume in Å³ per atom: 11.96
Energy relative to the elements, uncorrected in eV per atom: -1.5961
N(E_F) in states/eV/f.u.: 2.48
Density in g/cm³: 11.714

abc: 5.592 3.221 5.629
angles: 90.00 109.34 90.00
Element x y z (fractional)
Tm: 0.000 0.000 0.000
Hf: 0.000 0.500 0.500
Hf: 0.500 0.000 0.500
Nb: 0.500 0.500 0.000
N: 0.247 0.000 0.736
N: 0.256 0.500 0.267
N: 0.744 0.500 0.733
N: 0.753 0.000 0.264

Density functional theory data (GGA-PBE) for crystalline HfUNbN3 at its relaxed geometry.

Space group: P2_1/m
Calculated volume in Å³ per atom: 14.36
Energy relative to the elements, uncorrected in eV per atom: -1.1951
N(E_F) in states/eV/f.u.: 4.11
Density in g/cm³: 10.628

abc: 6.822 3.120 8.104
angles: 90.00 92.26 90.00
Element x y z (fractional)
Hf: 0.127 0.250 0.138
Hf: 0.873 0.750 0.862
U: 0.363 0.750 0.827
U: 0.637 0.250 0.173
Nb: 0.342 0.750 0.422
Nb: 0.658 0.250 0.578
N: 0.106 0.250 0.874
N: 0.344 0.250 0.605
N: 0.359 0.750 0.134
N: 0.641 0.250 0.866
N: 0.656 0.750 0.395
N: 0.894 0.750 0.126

Density functional theory data (GGA-PBE) for crystalline HfU2NbN4 at its relaxed geometry.

Space group: P2/m
Calculated volume in Å³ per atom: 12.76
Energy relative to the elements, uncorrected in eV per atom: -1.3996
N(E_F) in states/eV/f.u.: 9.52
Density in g/cm³: 13.075

abc: 5.681 3.297 5.766
angles: 90.00 109.12 90.00
Element x y z (fractional)
Hf: 0.000 0.000 0.000
U: 0.000 0.500 0.500
U: 0.500 0.000 0.500
Nb: 0.500 0.500 0.000
N: 0.240 0.500 0.228
N: 0.254 0.000 0.769
N: 0.746 0.000 0.231
N: 0.760 0.500 0.772

Density functional theory data (GGA-PBE) for crystalline Hf2UNb3N6 at its relaxed geometry.

Space group: C2/m
Calculated volume in Å³ per atom: 11.74
Energy relative to the elements, uncorrected in eV per atom: -1.3312
N(E_F) in states/eV/f.u.: 4.50
Density in g/cm³: 11.290

abc: 5.613 5.613 5.498
angles: 99.94 99.94 119.95
Element x y z (fractional)
Hf: 0.165 0.835 0.000
Hf: 0.835 0.165 0.000
U: 0.500 0.500 0.000
Nb: 0.000 0.000 0.500
Nb: 0.328 0.672 0.500
Nb: 0.672 0.328 0.500
N: 0.079 0.418 0.753
N: 0.245 0.245 0.251
N: 0.418 0.079 0.753
N: 0.582 0.921 0.247
N: 0.755 0.755 0.749
N: 0.921 0.582 0.247

Density functional theory data (GGA-PBE) for crystalline Hf2NbVN at its relaxed geometry.

Space group: P4/mmm
Calculated volume in Å³ per atom: 16.00
Energy relative to the elements, uncorrected in eV per atom: -0.6275
N(E_F) in states/eV/f.u.: 4.33
Density in g/cm³: 10.688

abc: 4.546 4.546 3.870
angles: 90.00 90.00 90.00
Element x y z (fractional)
Hf: 0.000 0.500 0.000
Hf: 0.500 0.000 0.000
Nb: 0.000 0.000 0.500
V: 0.500 0.500 0.500
N: 0.500 0.500 0.000